Here is an optimized crystal structure of RuPb2W from Alexandria. Energies are from PBE-GGA.

extended XYZ file:
```
8
Lattice="-3.888 3.888 2.884 3.888 -3.888 2.884 3.888 3.888 -2.884" Properties=species:S:1:pos:R:3 pbc="T T T"
Ru 0.000 0.000 0.000
Ru 0.000 3.888 1.442
Pb 1.944 1.802 -0.721
Pb 2.086 -1.944 3.606
Pb 1.944 2.086 2.163
Pb 1.802 5.833 0.721
W 3.888 0.000 1.442
W 0.000 0.000 2.884
```

density of states at the Fermi level	1.0502	states/eV per atom
spin magnetization	2.6	μB per cell
ΔH_f (0 K)	30.87	kcal/mol of atoms
V	21.81	A^3/atom